1.
CdRhCl2 | PBE | optimized geometry

abc: 6.4550 6.4550 6.4550
angles: 99.85 99.85 131.12
Closest atoms and distances in Å follow each position.
Fractional coordinates of all 8 atoms:
Cd 0.0000 0.0000 0.0000  2 Rh 2.67
Cd 0.7500 0.2500 0.5000  2 Rh 2.67
Rh 0.2500 0.7500 0.5000  4 Cl 2.42, 2 Cd 2.67
Rh 0.5000 0.5000 0.0000  4 Cl 2.42, 2 Cd 2.67
Cl 0.2504 0.6250 0.1254  2 Rh 2.42
Cl 0.3750 0.5004 0.6254  2 Rh 2.42
Cl 0.4996 0.1250 0.8746  2 Rh 2.42
Cl 0.8750 0.7496 0.3746  2 Rh 2.42

Summary:
The calculation puts the total energy at -12.850 eV/f.u. Its energy above the most stable polymorph in this dataset is 13.6 kJ/mol of atoms. Its formation energy without anion corrections is -0.9 eV/f.u. The density of states at the Fermi level is 2.61 states/eV/f.u.

2.
LiPaSe2 | PBE | optimized geometry

abc: 7.1484 7.1484 7.1484
angles: 32.22 32.22 32.22
Closest atoms and distances in Å follow each position.
Fractional coordinates of all 4 atoms:
Li 0.0000 0.0000 0.0000  6 Se 2.79
Pa 0.5000 0.5000 0.5000  6 Se 2.91
Se 0.2551 0.2551 0.2551  3 Li 2.79, 3 Pa 2.91
Se 0.7449 0.7449 0.7449  3 Li 2.79, 3 Pa 2.91

Summary:
The calculation puts the total energy at -23.465 eV/f.u. Its energy above the most stable polymorph in this dataset is 0.0 kJ/mol of atoms. Its formation energy without anion corrections is -5.1 eV/f.u. The density of states at the Fermi level is 4.64 states/eV/f.u.

3.
CsPaMnSe4 | PBE | optimized geometry

abc: 6.7537 6.9346 9.9270
angles: 90.00 109.03 90.00
Closest atoms and distances in Å follow each position.
Fractional coordinates of all 14 atoms:
Cs 0.2028 0.2500 0.4502  6 Se 3.48-3.86
Cs 0.7972 0.7500 0.5498  6 Se 3.48-3.86
Pa 0.3220 0.7500 0.0491  6 Se 2.79-2.92
Pa 0.6780 0.2500 0.9509  6 Se 2.79-2.92
Mn 0.1180 0.2500 0.8428  4 Se 2.41-2.47
Mn 0.8820 0.7500 0.1572  4 Se 2.41-2.47
Se 0.1119 0.2500 0.0843  1 Mn 2.41
Se 0.2447 0.7500 0.3102  1 Mn 2.43
Se 0.3453 0.5126 0.8117  1 Mn 2.47
Se 0.3453 0.9874 0.8117  1 Mn 2.47
Se 0.6547 0.0126 0.1883  1 Mn 2.47
Se 0.6547 0.4874 0.1883  1 Mn 2.47
Se 0.7553 0.2500 0.6898  1 Mn 2.43
Se 0.8881 0.7500 0.9157  1 Mn 2.41

Summary:
The calculation puts the total energy at -41.218 eV/f.u. Its formation energy without anion corrections is -7.8 eV/f.u. The density of states at the Fermi level is 0.38 states/eV/f.u.

4.
YMn2V2 | PBE | optimized geometry

abc: 7.4393 7.4393 2.9244
angles: 90.00 90.00 90.00
Closest atoms and distances in Å follow each position.
Fractional coordinates of all 10 atoms:
Y 0.0000 0.0000 0.0000  4 Mn 2.92, 2 Y 2.92, 8 V 3.22
Y 0.5000 0.5000 0.0000  4 Mn 2.92, 2 Y 2.92, 8 V 3.22
Mn 0.1305 0.3695 0.0000  4 V 2.49, 1 Mn 2.75
Mn 0.3695 0.8695 0.0000  4 V 2.49, 1 Mn 2.75
Mn 0.6305 0.1305 0.0000  4 V 2.49, 1 Mn 2.75
Mn 0.8695 0.6305 0.0000  4 V 2.49, 1 Mn 2.75
V 0.1403 0.6403 0.5000  4 Mn 2.49
V 0.3597 0.1403 0.5000  4 Mn 2.49
V 0.6403 0.8597 0.5000  4 Mn 2.49
V 0.8597 0.3597 0.5000  4 Mn 2.49

Summary:
The calculation puts the total energy at -41.846 eV/f.u. Its energy above the most stable polymorph in this dataset is 14.9 kJ/mol of atoms. The formation energy comes out at 115 kJ/mol of formula units. The density of states at the Fermi level is 6.61 states/eV/f.u.